No. 1
Compound: TaFePt2
Source: Alexandria
Functional: GGA-PBE
Structure: relaxed Values from VASP.

## Properties
- Distance to the lowest polymorph of the same formula: 0.133 eV/atom
- Energy of formation: -0.4420 eV/atom
- Total magnetization: 2.51 Bohr magnetons per cell
- SG: No. 25
- Final energy: -8.541 eV/atom

Structure (Quantum ESPRESSO input):
```
&SYSTEM
  ibrav = 0, nat = 4, ntyp = 3
/
ATOMIC_SPECIES
Pt 195.08 Pt.upf
Fe 55.84 Fe.upf
Ta 180.95 Ta.upf
ATOMIC_POSITIONS angstrom
Pt 0.000 0.347 4.621
Pt 2.243 0.348 1.436
Fe 2.243 1.742 3.911
Ta 0.000 1.741 2.261
CELL_PARAMETERS angstrom
4.487 0.000 0.000
0.000 2.787 0.001
0.000 -0.001 4.891
```

***

No. 2
Compound: PrSm2ErSe6
Source: Alexandria
Functional: GGA-PBE
Structure: relaxed Values from VASP.

## Properties
- Formation energy (no corrections): -1.838 eV per atom
- Total magnetization: 0.00 Bohr magnetons per cell
- SG: No. 146
- Final energy: -5.807 eV/atom

Structure (Quantum ESPRESSO input):
```
&SYSTEM
  ibrav = 0, nat = 10, ntyp = 4
/
ATOMIC_SPECIES
Se 78.96 Se.upf
Sm 150.36 Sm.upf
Er 167.26 Er.upf
Pr 140.91 Pr.upf
ATOMIC_POSITIONS angstrom
Se 6.319 1.905 1.669
Sm 7.369 4.254 2.994
Er 11.052 6.381 3.563
Se 5.858 6.336 1.669
Se 9.928 4.521 1.669
Sm 3.684 2.128 6.199
Pr 3.684 2.127 0.386
Se 8.439 2.255 4.922
Se 5.101 4.327 4.922
Se 8.565 6.181 4.922
CELL_PARAMETERS angstrom
7.368 0.001 0.001
3.684 6.381 0.000
3.684 2.127 6.562
```

***

No. 3
Compound: BaSrIn2
Source: Alexandria
Functional: GGA-PBE
Structure: relaxed Values from VASP.

## Properties
- Energy of formation: -0.1617 eV/atom
- Total magnetization: 0.00 Bohr magnetons per cell
- SG: No. 216
- Final energy: -2.432 eV/atom

Structure (Quantum ESPRESSO input):
```
&SYSTEM
  ibrav = 0, nat = 4, ntyp = 3
/
ATOMIC_SPECIES
Sr 87.62 Sr.upf
In 114.82 In.upf
Ba 137.33 Ba.upf
ATOMIC_POSITIONS angstrom
Sr -3.320 -7.822 6.644
In 0.000 0.000 0.000
In -1.107 -2.607 2.215
Ba -2.213 -5.215 4.430
CELL_PARAMETERS angstrom
-4.320 -3.810 1.140
1.264 -5.311 2.162
-1.370 -1.309 5.557
```

***

No. 4
Compound: CaBe2P2
Source: Alexandria
Functional: GGA-PBE
Structure: relaxed Values from VASP.

## Properties
- Distance to the lowest polymorph of the same formula: 0.402 eV/atom
- Energy of formation: -0.3340 eV/atom
- Total magnetization: 0.00 Bohr magnetons per cell
- SG: No. 123
- Final energy: -4.389 eV/atom

Structure (Quantum ESPRESSO input):
```
&SYSTEM
  ibrav = 0, nat = 5, ntyp = 3
/
ATOMIC_SPECIES
P 30.97 P.upf
Ca 40.08 Ca.upf
Be 9.01 Be.upf
ATOMIC_POSITIONS angstrom
P 1.714 1.714 4.841
P 1.714 1.714 1.840
Ca 0.000 0.000 0.000
Be 1.714 0.000 3.340
Be 0.000 1.714 3.340
CELL_PARAMETERS angstrom
3.428 0.000 0.000
0.000 3.428 0.000
0.000 0.000 6.681
```

***

No. 5
Compound: YBeIr3
Source: Alexandria
Functional: GGA-PBE
Structure: relaxed Values from VASP.

## Properties
- Distance to the lowest polymorph of the same formula: 2.771 eV/atom
- Energy of formation: 2.3304 eV/atom
- Total magnetization: 1.41 Bohr magnetons per cell
- SG: No. 221
- Final energy: -5.024 eV/atom

Structure (Quantum ESPRESSO input):
```
&SYSTEM
  ibrav = 0, nat = 5, ntyp = 3
/
ATOMIC_SPECIES
Ir 192.22 Ir.upf
Be 9.01 Be.upf
Y 88.91 Y.upf
ATOMIC_POSITIONS angstrom
Ir 0.000 2.470 0.000
Be 2.470 2.470 2.470
Y 0.000 0.000 0.000
Ir 2.470 0.000 0.000
Ir 0.000 0.000 2.470
CELL_PARAMETERS angstrom
4.939 0.000 0.000
0.000 4.939 0.000
0.000 0.000 4.939
```

***

No. 6
Compound: AcPr3Ir3
Source: Alexandria
Functional: GGA-PBE
Structure: relaxed Values from VASP.

## Properties
- Energy of formation: -0.5351 eV/atom
- Total magnetization: 0.00 Bohr magnetons per cell
- SG: No. 148
- Final energy: -6.968 eV/atom

Structure (Quantum ESPRESSO input):
```
&SYSTEM
  ibrav = 0, nat = 14, ntyp = 3
/
ATOMIC_SPECIES
Pr 140.91 Pr.upf
Ac 227.00 Ac.upf
Ir 192.22 Ir.upf
ATOMIC_POSITIONS angstrom
Pr -7.379 0.679 3.380
Ac -9.435 5.413 4.024
Ir -7.239 1.698 0.592
Ir -5.055 2.214 5.018
Ir -8.985 5.841 0.970
Ir -6.801 6.357 5.397
Pr -7.425 3.313 6.284
Pr -9.749 2.986 1.274
Ir -9.527 2.324 4.430
Pr -6.615 4.742 -0.295
Ac -4.605 2.642 1.964
Pr -4.290 5.070 4.714
Ir -4.513 5.731 1.559
Pr -6.661 7.377 2.609
CELL_PARAMETERS angstrom
-4.464 5.997 -1.951
-7.379 -1.686 1.549
-2.198 3.745 6.390
```

***

No. 7
Compound: Li2ThI6
Source: Alexandria
Functional: GGA-PBE
Structure: relaxed Values from VASP.

## Properties
- Formation energy (no corrections): -1.199 eV per atom
- Total magnetization: 0.00 Bohr magnetons per cell
- SG: No. 14
- Final energy: -3.482 eV/atom

Structure (Quantum ESPRESSO input):
```
&SYSTEM
  ibrav = 0, nat = 18, ntyp = 3
/
ATOMIC_SPECIES
Th 232.04 Th.upf
I 126.90 I.upf
Li 6.94 Li.upf
ATOMIC_POSITIONS angstrom
Th 0.452 -3.917 5.469
I -5.318 -5.815 4.571
I -4.743 -8.362 8.311
I -2.326 -5.453 -0.975
Li 0.031 -5.909 1.802
I -1.752 -8.000 2.765
I -1.117 -6.313 6.609
I -1.677 -10.742 6.396
I -1.966 -1.016 -0.538
I -5.103 -12.799 7.874
I -5.392 -3.072 0.940
I -1.451 -3.767 3.050
I -5.618 -10.048 4.286
Li -7.100 -7.906 5.534
Li -4.159 -7.130 -2.455
Th -3.987 -2.990 -1.801
Li -2.911 -6.685 9.790
I -5.953 -7.502 0.726
CELL_PARAMETERS angstrom
-7.427 0.152 0.723
-0.546 -6.133 -4.325
0.904 -7.834 10.938
```

***

No. 8
Compound: La2Ge4Ir3Pt
Source: Alexandria
Functional: GGA-PBE
Structure: relaxed Values from VASP.

## Properties
- Energy of formation: -0.8274 eV/atom
- Total magnetization: 0.00 Bohr magnetons per cell
- SG: No. 115
- Final energy: -6.922 eV/atom

Structure (Quantum ESPRESSO input):
```
&SYSTEM
  ibrav = 0, nat = 10, ntyp = 4
/
ATOMIC_SPECIES
Ir 192.22 Ir.upf
Ge 72.64 Ge.upf
Pt 195.08 Pt.upf
La 138.91 La.upf
ATOMIC_POSITIONS angstrom
Ir 4.769 -0.391 1.926
Ge 0.099 -2.933 -0.840
Pt 4.868 -3.324 1.087
Ge 4.106 -1.345 -0.367
Ge 5.530 -2.370 3.380
La 7.880 -1.655 1.157
La 1.757 -2.060 1.856
Ge 0.000 0.000 0.000
Ir 7.805 -2.557 4.299
Ir 1.831 -1.159 -1.286
CELL_PARAMETERS angstrom
-1.060 -3.746 1.864
1.257 -2.120 -3.543
9.538 -0.782 3.853
```

***

No. 9
Compound: Si3NiAu
Source: Alexandria
Functional: GGA-PBE
Structure: relaxed Values from VASP.

## Properties
- Formation energy (no corrections): 0.384 eV per atom
- Distance to the lowest polymorph of the same formula: 0.000 eV/atom
- Total magnetization: 0.00 Bohr magnetons per cell
- SG: No. 221
- Final energy: -4.681 eV/atom

Structure (Quantum ESPRESSO input):
```
&SYSTEM
  ibrav = 0, nat = 5, ntyp = 3
/
ATOMIC_SPECIES
Ni 58.69 Ni.upf
Si 28.09 Si.upf
Au 196.97 Au.upf
ATOMIC_POSITIONS angstrom
Ni 0.000 0.000 0.000
Si 1.777 -1.076 0.758
Si -1.264 -1.752 0.474
Si 0.370 -0.815 -2.022
Au 0.883 -3.643 -0.790
CELL_PARAMETERS angstrom
-2.527 -3.504 0.949
0.740 -1.629 -4.045
3.554 -2.153 1.517
```

***

No. 10
Compound: TbPrEu
Source: Alexandria
Functional: GGA-PBE
Structure: relaxed Values from VASP.

## Properties
- Energy of formation: 0.0395 eV/atom
- Total magnetization: 7.40 Bohr magnetons per cell
- SG: No. 156
- Final energy: -6.522 eV/atom

Structure (Quantum ESPRESSO input):
```
&SYSTEM
  ibrav = 0, nat = 3, ntyp = 3
/
ATOMIC_SPECIES
Pr 140.91 Pr.upf
Tb 158.93 Tb.upf
Eu 151.96 Eu.upf
ATOMIC_POSITIONS angstrom
Pr 0.000 2.137 5.956
Tb 1.851 1.069 3.104
Eu 0.000 0.000 0.040
CELL_PARAMETERS angstrom
3.702 0.000 0.000
-1.851 3.206 0.000
0.000 0.000 9.101
```

***

No. 11
Compound: Pm6CdAg6
Source: Alexandria
Functional: GGA-PBE
Structure: relaxed Values from VASP.

## Properties
- Energy of formation: -0.1379 eV/atom
- Total magnetization: 0.00 Bohr magnetons per cell
- SG: No. 191
- Final energy: -3.717 eV/atom

Structure (Quantum ESPRESSO input):
```
&SYSTEM
  ibrav = 0, nat = 13, ntyp = 3
/
ATOMIC_SPECIES
Pm 145.00 Pm.upf
Cd 112.41 Cd.upf
Ag 107.87 Ag.upf
ATOMIC_POSITIONS angstrom
Pm 0.000 3.461 0.000
Cd 0.000 0.000 0.000
Ag -1.499 2.596 2.629
Pm 2.997 1.730 0.000
Pm 0.000 0.000 7.311
Pm 0.000 0.000 3.591
Ag 2.997 0.000 2.629
Ag 1.499 2.596 8.273
Ag -1.499 2.596 8.273
Ag 1.499 2.596 2.629
Pm 2.997 1.730 5.451
Pm 0.000 3.461 5.451
Ag 2.997 0.000 8.273
CELL_PARAMETERS angstrom
5.995 0.000 0.000
-2.997 5.192 0.000
0.000 0.000 10.902
```

***

No. 12
Compound: Tb8Ir2Rh
Source: Alexandria
Functional: GGA-PBE
Structure: relaxed Values from VASP.

## Properties
- Distance to the lowest polymorph of the same formula: 0.057 eV/atom
- Energy of formation: -0.4621 eV/atom
- Total magnetization: 0.00 Bohr magnetons per cell
- SG: No. 8
- Final energy: -6.109 eV/atom

Structure (Quantum ESPRESSO input):
```
&SYSTEM
  ibrav = 0, nat = 11, ntyp = 3
/
ATOMIC_SPECIES
Tb 158.93 Tb.upf
Ir 192.22 Ir.upf
Rh 102.91 Rh.upf
ATOMIC_POSITIONS angstrom
Tb 0.164 -0.598 -3.705
Tb -1.498 -3.956 -4.164
Tb 1.179 -5.808 -2.667
Tb 1.154 -2.123 -6.613
Ir 1.315 -3.138 -3.518
Tb -2.785 -0.904 -2.353
Ir -2.946 -3.581 -1.565
Tb -0.136 -2.706 -0.910
Tb -5.341 -2.798 -3.636
Tb -1.767 -6.114 -1.317
Rh -0.349 0.227 -0.710
CELL_PARAMETERS angstrom
-2.550 1.726 -5.172
6.090 -3.569 -2.609
-5.239 -4.745 2.584
```

***

No. 13
Compound: HoLu2In
Source: Alexandria
Functional: GGA-PBE
Structure: relaxed Values from VASP.

## Properties
- Distance to the lowest polymorph of the same formula: 0.022 eV/atom
- Energy of formation: -0.2320 eV/atom
- Total magnetization: 0.00 Bohr magnetons per cell
- SG: No. 123
- Final energy: -4.322 eV/atom

Structure (Quantum ESPRESSO input):
```
&SYSTEM
  ibrav = 0, nat = 4, ntyp = 3
/
ATOMIC_SPECIES
Lu 174.97 Lu.upf
In 114.82 In.upf
Ho 164.93 Ho.upf
ATOMIC_POSITIONS angstrom
Lu 0.000 0.000 6.930
In 1.766 1.766 0.000
Lu 0.000 0.000 2.060
Ho 1.766 1.766 4.495
CELL_PARAMETERS angstrom
3.531 0.000 0.000
0.000 3.531 0.000
0.000 0.000 8.990
```

***

No. 14
Compound: Tm2Zn3CoCu12
Source: Alexandria
Functional: GGA-PBE
Structure: relaxed Values from VASP.

## Properties
- Energy of formation: 0.0576 eV/atom
- Total magnetization: 0.00 Bohr magnetons per cell
- SG: No. 166
- Final energy: -3.777 eV/atom

Structure (Quantum ESPRESSO input):
```
&SYSTEM
  ibrav = 0, nat = 18, ntyp = 4
/
ATOMIC_SPECIES
Cu 63.55 Cu.upf
Zn 65.41 Zn.upf
Tm 168.93 Tm.upf
Co 58.93 Co.upf
ATOMIC_POSITIONS angstrom
Cu 17.195 8.577 6.083
Cu 7.742 4.506 4.773
Cu 9.036 3.771 2.675
Cu 13.467 7.839 4.042
Cu 12.221 8.546 6.062
Cu 13.467 6.406 6.062
Cu 21.675 12.616 7.372
Zn 5.759 1.875 1.330
Tm 10.404 6.056 4.296
Zn 4.475 4.082 1.330
Cu 7.742 5.995 2.675
Cu 15.949 10.716 6.083
Cu 15.949 9.284 8.103
Tm 19.012 11.067 7.849
Cu 21.675 11.128 9.470
Co 0.000 0.000 0.000
Zn 4.475 2.605 3.413
Cu 20.380 13.351 9.470
CELL_PARAMETERS angstrom
11.518 3.750 2.660
8.949 8.164 2.660
8.949 5.209 6.825
```

***

No. 15
Compound: Mg2SbP2
Source: Alexandria
Functional: GGA-PBE
Structure: relaxed Values from VASP.

## Properties
- Formation energy (no corrections): -0.169 eV per atom
- Distance to the lowest polymorph of the same formula: 0.024 eV/atom
- Total magnetization: 0.00 Bohr magnetons per cell
- SG: No. 127
- Final energy: -3.795 eV/atom

Structure (Quantum ESPRESSO input):
```
&SYSTEM
  ibrav = 0, nat = 10, ntyp = 3
/
ATOMIC_SPECIES
P 30.97 P.upf
Mg 24.30 Mg.upf
Sb 121.76 Sb.upf
ATOMIC_POSITIONS angstrom
P 6.248 4.967 0.000
Mg 6.421 2.682 1.783
Sb 0.000 0.000 0.000
Sb 3.738 3.738 0.000
Mg 1.056 4.794 1.783
P 1.228 2.510 0.000
P 4.967 1.228 0.000
P 2.510 6.248 0.000
Mg 4.794 6.421 1.783
Mg 2.682 1.056 1.783
CELL_PARAMETERS angstrom
7.477 0.000 0.000
0.000 7.477 0.000
0.000 0.000 3.565
```

***

No. 16
Compound: NaMnZnSe3
Source: Alexandria
Functional: GGA-PBE
Structure: relaxed Values from VASP.

## Properties
- Formation energy (no corrections): -0.669 eV per atom
- Total magnetization: 7.99 Bohr magnetons per cell
- SG: No. 11
- Final energy: -4.372 eV/atom

Structure (Quantum ESPRESSO input):
```
&SYSTEM
  ibrav = 0, nat = 12, ntyp = 4
/
ATOMIC_SPECIES
Se 78.96 Se.upf
Zn 65.41 Zn.upf
Mn 54.94 Mn.upf
Na 22.99 Na.upf
ATOMIC_POSITIONS angstrom
Se 2.809 6.062 1.723
Zn 0.936 -0.971 6.432
Se 0.936 1.653 9.217
Mn 0.936 4.445 1.221
Mn 2.809 -0.062 9.280
Se 0.936 4.026 4.952
Zn 2.809 5.354 4.069
Se 0.936 -1.679 8.779
Na 0.936 1.358 3.326
Se 2.809 2.730 1.285
Se 2.809 0.357 5.550
Na 2.809 3.026 7.176
CELL_PARAMETERS angstrom
3.746 0.000 0.000
0.000 7.224 -0.119
0.000 -2.841 10.621
```

***

No. 17
Compound: AlGePd
Source: Alexandria
Functional: GGA-PBE
Structure: relaxed Values from VASP.

## Properties
- Distance to the lowest polymorph of the same formula: 0.000 eV/atom
- Energy of formation: -0.4574 eV/atom
- Total magnetization: 0.00 Bohr magnetons per cell
- SG: No. 216
- Final energy: -4.975 eV/atom

Structure (Quantum ESPRESSO input):
```
&SYSTEM
  ibrav = 0, nat = 3, ntyp = 3
/
ATOMIC_SPECIES
Al 26.98 Al.upf
Pd 106.42 Pd.upf
Ge 72.64 Ge.upf
ATOMIC_POSITIONS angstrom
Al 0.000 0.000 0.000
Pd -2.525 0.130 -0.533
Ge -5.051 0.259 -1.066
CELL_PARAMETERS angstrom
-2.935 -0.657 -2.960
-3.829 -1.393 1.098
-3.337 2.569 -0.269
```

***

No. 18
Compound: Ag4Pd5
Source: Alexandria
Functional: GGA-PBE
Structure: relaxed Values from VASP.

## Properties
- Energy of formation: -0.0287 eV/atom
- Total magnetization: 0.00 Bohr magnetons per cell
- SG: No. 139
- Final energy: -4.181 eV/atom

Structure (Quantum ESPRESSO input):
```
&SYSTEM
  ibrav = 0, nat = 9, ntyp = 2
/
ATOMIC_SPECIES
Pd 106.42 Pd.upf
Ag 107.87 Ag.upf
ATOMIC_POSITIONS angstrom
Pd 1.074 0.000 2.627
Ag 2.130 4.071 5.297
Ag 0.282 2.000 4.527
Pd 0.000 0.000 0.000
Ag 1.078 4.071 2.616
Pd 1.847 2.013 0.769
Pd 3.695 4.059 1.539
Pd 2.135 0.000 5.285
Ag 2.926 2.000 3.385
CELL_PARAMETERS angstrom
3.695 0.000 1.539
1.847 6.071 0.769
-0.486 0.000 6.374
```

***

No. 19
Compound: LiTiAuI2
Source: Alexandria
Functional: GGA-PBE
Structure: relaxed Values from VASP.

## Properties
- Formation energy (no corrections): 0.566 eV per atom
- Total magnetization: 0.33 Bohr magnetons per cell
- SG: No. 123
- Final energy: -2.671 eV/atom

Structure (Quantum ESPRESSO input):
```
&SYSTEM
  ibrav = 0, nat = 5, ntyp = 4
/
ATOMIC_SPECIES
I 126.90 I.upf
Li 6.94 Li.upf
Au 196.97 Au.upf
Ti 47.87 Ti.upf
ATOMIC_POSITIONS angstrom
I 2.527 0.000 0.000
I 0.000 0.000 2.527
Li 0.000 0.000 0.000
Au 2.527 2.564 2.527
Ti 0.000 2.564 0.000
CELL_PARAMETERS angstrom
5.054 0.000 0.000
0.000 5.129 0.000
0.000 0.000 5.054
```

***

No. 20
Compound: TmGaB2O6
Source: Alexandria
Functional: GGA-PBE
Structure: relaxed Values from VASP.

## Properties
- Formation energy (no corrections): -2.461 eV per atom
- Total magnetization: 0.00 Bohr magnetons per cell
- SG: No. 15
- Final energy: -7.521 eV/atom

Structure (Quantum ESPRESSO input):
```
&SYSTEM
  ibrav = 0, nat = 20, ntyp = 4
/
ATOMIC_SPECIES
O 16.00 O.upf
B 10.81 B.upf
Ga 69.72 Ga.upf
Tm 168.93 Tm.upf
ATOMIC_POSITIONS angstrom
O 3.803 -5.401 1.446
B 2.914 -8.029 3.829
Ga 0.840 -7.198 1.516
O 1.251 -4.196 -0.680
B 3.330 -6.826 1.222
O -0.433 -3.491 3.269
O 0.238 -5.721 2.670
O 1.496 -3.620 1.661
Tm 1.072 -6.191 -1.441
O 4.206 -8.675 3.736
Tm 2.968 -4.930 5.556
O 2.789 -6.926 4.795
O 4.474 -7.630 0.846
O 2.544 -7.502 2.455
Ga 3.200 -3.923 2.599
O 2.200 -6.794 0.279
O 1.841 -4.328 3.836
B 1.126 -3.092 0.286
B 0.710 -4.296 2.894
O -0.166 -2.446 0.379
CELL_PARAMETERS angstrom
-1.965 -3.614 3.065
1.129 -5.751 -3.032
4.877 -1.756 4.083
```